Below is RbInAu2F8 after structural relaxation, with properties calculated at the PBE level.

The space group is C2/m (No. 12) and the conventional cell measures 8.4113, 5.8524 and 8.9816 Å, with angles of 90.00, 92.05 and 90.00 degrees. The inequivalent atoms are Rb at (0.0000, 0.0000, 0.0000), In at (0.0000, 0.0000, 0.5000), Au at (0.1934, 0.5000, 0.2867), F at (0.0247, 0.2286, 0.6821), F at (0.1656, 0.5000, 0.0662) and F at (0.2441, 0.5000, 0.5116).

For the volume, the calculation gives 441.9 Å³ per cell. The formation energy (no corrections) is -1640 meV per atom. Its calculated density is 5.61 g/cm³. As for the density of states at the Fermi level: 8.9 states/eV per cell.

---

Below is Ba3NaPt after structural relaxation, with properties calculated at the PBE level.

The space group is Pm-3m (No. 221) and the conventional cell measures 6.3175, 6.3175 and 6.3175 Å, with angles of 90.00, 90.00 and 90.00 degrees. The inequivalent atoms are Ba at (0.0000, 0.0000, 0.5000), Na at (0.5000, 0.5000, 0.5000) and Pt at (0.0000, 0.0000, 0.0000).

For the volume, the calculation gives 252.1 Å³ per cell. Its calculated density is 4.15 g/cm³. Its excess energy over the best structure of this formula in the dataset is 0 meV/atom. As for the density of states at the Fermi level: 2.8 states/eV per cell.

---

Below is Pr4Nd3Er after structural relaxation, with properties calculated at the PBE level.

The space group is Pmn2_1 (No. 31) and the conventional cell measures 10.3985, 7.3486 and 7.3407 Å, with angles of 90.00, 90.00 and 90.00 degrees. The inequivalent atoms are Pr at (0.0000, 0.0003, 0.0000), Pr at (0.0000, 0.5000, 0.4995), Pr at (0.2503, 0.2476, 0.2498), Nd at (0.0000, 0.5001, 0.0000), Nd at (0.2499, 0.2476, 0.7498) and Er at (0.0000, 0.0003, 0.4995).

For the volume, the calculation gives 560.9 Å³ per cell. Its calculated density is 6.89 g/cm³. Its total energy is -4.735 eV per atom. As for the density of states at the Fermi level: 23.8 states/eV per cell.

---

Below is MgCd4Si after structural relaxation, with properties calculated at the PBE level.

The space group is F-43m (No. 216) and the conventional cell measures 8.1513, 8.1513 and 8.1513 Å, with angles of 90.00, 90.00 and 90.00 degrees. The inequivalent atoms are Mg at (0.0000, 0.0000, 0.0000), Cd at (0.1250, 0.1250, 0.3750) and Si at (0.2500, 0.2500, 0.7500).

For the volume, the calculation gives 541.6 Å³ per cell. The formation energy (no corrections) is 270 meV per atom. Its calculated density is 6.16 g/cm³. As for the density of states at the Fermi level: 9.9 states/eV per cell.

---

Below is Y3HfNb after structural relaxation, with properties calculated at the PBE level.

The space group is Pm-3m (No. 221) and the conventional cell measures 5.3498, 5.3498 and 5.3498 Å, with angles of 90.00, 90.00 and 90.00 degrees. The inequivalent atoms are Y at (0.0000, 0.0000, 0.5000), Hf at (0.5000, 0.5000, 0.5000) and Nb at (0.0000, 0.0000, 0.0000).

For the volume, the calculation gives 153.1 Å³ per cell. Its calculated density is 5.84 g/cm³. Its excess energy over the best structure of this formula in the dataset is 0 meV/atom. As for the density of states at the Fermi level: 6.0 states/eV per cell.

---

Below is Ba3Ca2Si2N6 after structural relaxation, with properties calculated at the PBE level.

The space group is C2/c (No. 15) and the conventional cell measures 10.1367, 6.9033 and 13.4519 Å, with angles of 90.00, 101.67 and 90.00 degrees. The inequivalent atoms are Ba at (0.0000, 0.0943, 0.2500), Ba at (0.0590, 0.2386, 0.9913), Ca at (0.1515, 0.4431, 0.7184), Si at (0.2208, 0.3491, 0.4201), N at (0.0632, 0.4513, 0.3700), N at (0.1682, 0.1084, 0.6623) and N at (0.2112, 0.0902, 0.4474).

For the volume, the calculation gives 921.9 Å³ per cell. The formation energy (no corrections) is -1005 meV per atom. Its calculated density is 4.56 g/cm³. As for the density of states at the Fermi level: 0.0 states/eV per cell.

---

Below is Pm2NdY6Tm after structural relaxation, with properties calculated at the PBE level.

The space group is C2/c (No. 15) and the conventional cell measures 9.1015, 15.0211 and 9.8643 Å, with angles of 90.00, 100.45 and 90.00 degrees. The inequivalent atoms are Pm at (0.2383, 0.0493, 0.0439), Nd at (0.0000, 0.4040, 0.2500), Y at (0.0656, 0.1873, 0.4437), Y at (0.1027, 0.3970, 0.6195), Y at (0.1974, 0.2225, 0.8160) and Tm at (0.0000, 0.0181, 0.7500).

For the volume, the calculation gives 1326.2 Å³ per cell. Its calculated density is 5.69 g/cm³. Its total energy is -5.635 eV per atom. As for the density of states at the Fermi level: 62.4 states/eV per cell.

---

Below is Ce4Co2N after structural relaxation, with properties calculated at the PBE level.

The space group is I4/mmm (No. 139) and the conventional cell measures 4.7765, 4.7765 and 13.2272 Å, with angles of 90.00, 90.00 and 90.00 degrees. The inequivalent atoms are Ce at (0.0000, 0.0000, 0.1926), Ce at (0.0000, 0.5000, 0.0000), Co at (0.0000, 0.0000, 0.3546) and N at (0.0000, 0.0000, 0.0000).

For the volume, the calculation gives 301.8 Å³ per cell. The formation energy (no corrections) is -444 meV per atom. Its calculated density is 7.62 g/cm³. As for the density of states at the Fermi level: 26.9 states/eV per cell.